# MnIn2Pt

A relaxed structure of MnIn2Pt (PBE-GGA, the Alexandria database).

The structure in extended XYZ format:
```
4
Lattice="3.4305 0.0000 0.0000 0.0000 3.4305 0.0000 0.0000 0.0000 6.5761" Properties=species:S:1:pos:R:3 pbc="T T T"
Mn 0.0000 0.0000 0.0000
In 0.0000 0.0000 2.8605
In 1.7152 1.7152 4.9802
Pt 1.7152 1.7152 1.2804
```

Values from the calculation:
total moment: 0.999 μB/atom
electronic total energy: -0.194 hartree per atom
calculated formation energy: -0.383 eV per formula unit



# CsCa3Cr

A relaxed structure of CsCa3Cr (PBE-GGA, the Alexandria database).

The structure in extended XYZ format:
```
5
Lattice="5.7535 0.0000 0.0000 0.0000 5.7535 0.0000 0.0000 0.0000 5.7535" Properties=species:S:1:pos:R:3 pbc="T T T"
Cs 0.0000 0.0000 0.0000
Ca 0.0000 2.8767 2.8767
Ca 2.8767 0.0000 2.8767
Ca 2.8767 2.8767 0.0000
Cr 2.8767 2.8767 2.8767
```

Values from the calculation:
energy relative to the lowest polymorph listed for this composition: 0.0 meV per atom
total moment: 0.816 μB/atom
electronic total energy: -0.099 hartree per atom
calculated formation energy: 3.022 eV per formula unit



# NaNi6P4

A relaxed structure of NaNi6P4 (PBE-GGA, the Alexandria database).

The structure in extended XYZ format:
```
11
Lattice="6.6417 0.0000 0.0000 -3.3208 5.7519 0.0000 0.0000 0.0000 3.5061" Properties=species:S:1:pos:R:3 pbc="T T T"
Na 0.0000 0.0000 0.0000
Ni 0.0000 2.3220 1.7531
Ni -1.3099 4.5908 1.7531
Ni 3.3208 0.4269 0.0000
Ni 2.0301 2.6625 0.0000
Ni 1.3099 4.5908 1.7531
Ni 4.6116 2.6625 0.0000
P 0.0000 3.8346 0.0000
P 1.8363 1.0602 1.7531
P 4.8054 1.0602 1.7531
P 3.3208 3.6315 1.7531
```

Values from the calculation:
total moment: 0.000 μB/atom
electronic total energy: -0.210 hartree per atom
calculated formation energy: -5.206 eV per formula unit



# Al2CrSe

A relaxed structure of Al2CrSe (PBE-GGA, the Alexandria database).

The structure in extended XYZ format:
```
4
Lattice="3.4654 0.0000 0.0000 0.0000 3.4654 0.0000 0.0000 0.0000 5.5360" Properties=species:S:1:pos:R:3 pbc="T T T"
Al 0.0000 0.0000 0.0000
Al 1.7327 1.7327 1.5127
Cr 0.0000 0.0000 2.5959
Se 1.7327 1.7327 4.2688
```

Values from the calculation:
energy relative to the lowest polymorph listed for this composition: 119.3 meV per atom
total moment: 0.678 μB/atom
E_form (uncorrected): 34 kJ/mol of formula units
electronic total energy: -0.186 hartree per atom



# SrNiIr2

A relaxed structure of SrNiIr2 (PBE-GGA, the Alexandria database).

The structure in extended XYZ format:
```
4
Lattice="2.8121 -4.2688 0.0000 2.8121 4.2688 0.0000 0.0000 0.0000 2.8306" Properties=species:S:1:pos:R:3 pbc="T T T"
Sr 0.0000 0.0000 0.0000
Ni 2.8121 0.0000 0.0000
Ir 1.4060 2.1344 1.4153
Ir 1.4060 -2.1344 1.4153
```

Values from the calculation:
energy relative to the lowest polymorph listed for this composition: 319.7 meV per atom
total moment: 0.000 μB/atom
electronic total energy: -0.212 hartree per atom
calculated formation energy: 2.073 eV per formula unit



# Tb2Nd2Te5

A relaxed structure of Tb2Nd2Te5 (PBE-GGA, the Alexandria database).

The structure in extended XYZ format:
```
18
Lattice="8.0060 -4.1405 0.0000 8.0060 4.1405 0.0000 0.0000 0.0000 8.2835" Properties=species:S:1:pos:R:3 pbc="T T T"
Tb 8.0060 2.9336 7.0396
Tb 8.0060 1.2069 2.8978
Tb 8.0060 -1.2069 5.3858
Tb 8.0060 -2.9336 1.2440
Nd 3.1599 0.0000 4.1418
Nd 4.8461 0.0000 0.0000
Nd 11.1658 0.0000 0.0000
Nd 12.8520 0.0000 4.1418
Te 0.0000 0.0000 4.1418
Te 5.8133 2.8247 1.2899
Te 5.8133 1.3159 5.4316
Te 10.1986 2.8247 1.2899
Te 10.1986 1.3159 5.4316
Te 8.0060 0.0000 0.0000
Te 5.8133 -1.3159 2.8519
Te 5.8133 -2.8247 6.9937
Te 10.1986 -1.3159 2.8519
Te 10.1986 -2.8247 6.9937
```

Values from the calculation:
energy relative to the lowest polymorph listed for this composition: 0.0 meV per atom
total moment: 0.000 μB/atom
E_form (uncorrected): -1164 kJ/mol of formula units
electronic total energy: -0.190 hartree per atom



# TbEr4Tm3S8

A relaxed structure of TbEr4Tm3S8 (PBE-GGA, the Alexandria database).

The structure in extended XYZ format:
```
16
Lattice="3.8644 2.2311 6.3088 -3.8644 2.2311 6.3088 0.0000 -4.4622 6.3088" Properties=species:S:1:pos:R:3 pbc="T T T"
Tb 0.0000 0.0000 0.0000
Er -3.8644 0.0000 9.4632
Er -1.9322 1.1155 3.1544
Er 1.9322 1.1156 3.1544
Er 0.0000 0.0000 9.4632
Tm -1.9322 -1.1156 6.3088
Tm -1.9322 1.1155 12.6176
Tm 0.0000 2.2311 6.3088
S 0.0000 0.0000 4.7465
S 0.0000 -2.2051 7.8892
S -1.9097 1.1026 7.8892
S -1.9097 -1.1026 11.0372
S 1.9097 1.1026 7.8893
S 1.9097 -1.1026 11.0372
S 0.0000 2.2051 11.0372
S 0.0000 0.0000 14.1800
```

Values from the calculation:
total moment: 0.000 μB/atom
E_form (uncorrected): -3005 kJ/mol of formula units
electronic total energy: -0.231 hartree per atom



# Cs3Rb2UO6

A relaxed structure of Cs3Rb2UO6 (PBE-GGA, the Alexandria database).

The structure in extended XYZ format:
```
12
Lattice="3.4921 -6.0346 0.0000 3.4921 6.0346 0.0000 -2.2724 0.0000 6.6233" Properties=species:S:1:pos:R:3 pbc="T T T"
Cs 0.0000 0.0000 0.0000
Cs 3.4921 2.0289 0.0000
Cs 3.4921 -2.0289 0.0000
Rb 2.3559 4.0270 3.3116
Rb 2.3559 -4.0270 3.3116
U 2.3559 0.0000 3.3116
O 1.4913 1.4662 2.1056
O 0.6700 0.0000 4.5591
O 1.4913 -1.4662 2.1056
O 3.2204 1.4662 4.5176
O 4.0417 0.0000 2.0642
O 3.2204 -1.4662 4.5176
```

Values from the calculation:
total moment: 0.091 μB/atom
E_form (uncorrected): -2297 kJ/mol of formula units
electronic total energy: -0.212 hartree per atom



> What is the formula in the first record?

MnIn2Pt